No. 1
16
Lattice="7.340 0.000 0.000 0.000 7.998 0.000 0.000 0.000 5.165" Properties=species:S:1:pos:R:3 comment="Mg3Rh | the Alexandria database | GGA-PBEsol | optimized geometry" ef_kj_per_mol_atoms=-28 pbc="T T T"
Mg 0.191 2.000 0.485
Mg 1.258 0.493 3.145
Mg 1.258 3.506 3.145
Mg 2.412 4.492 0.562
Mg 2.412 7.505 0.562
Mg 3.479 5.999 3.067
Mg 3.861 2.000 2.097
Mg 4.928 0.493 4.602
Mg 4.928 3.506 4.602
Mg 6.082 4.492 2.020
Mg 6.082 7.505 2.020
Mg 7.149 5.999 4.680
Rh 0.943 5.999 2.189
Rh 2.727 2.000 4.771
Rh 4.613 5.999 0.394
Rh 6.397 2.000 2.976

---

No. 2
16
Lattice="6.873 0.000 0.000 0.000 6.873 0.000 0.000 0.000 6.873" Properties=species:S:1:pos:R:3 comment="Hf2ScNb | the Alexandria database | GGA-PBEsol | optimized geometry" ef_kj_per_mol_atoms=12 pbc="T T T"
Hf 1.718 1.718 1.718
Hf 1.718 1.718 5.155
Hf 1.718 5.155 1.718
Hf 1.718 5.155 5.155
Hf 5.155 1.718 1.718
Hf 5.155 1.718 5.155
Hf 5.155 5.155 1.718
Hf 5.155 5.155 5.155
Sc 0.000 0.000 0.000
Sc 0.000 3.436 3.436
Sc 3.436 0.000 3.436
Sc 3.436 3.436 0.000
Nb 0.000 0.000 3.436
Nb 0.000 3.436 0.000
Nb 3.436 0.000 0.000
Nb 3.436 3.436 3.436

---

No. 3
36
Lattice="9.699 0.000 0.000 0.000 3.640 0.000 0.000 0.000 12.523" Properties=species:S:1:pos:R:3 comment="SrV2O6 | the Alexandria database | GGA-PBEsol | optimized geometry" formation_energy_uncorrected_mev_per_atom=-2601 pbc="T T T"
Sr 1.271 0.910 1.497
Sr 3.579 2.730 7.758
Sr 6.121 0.910 4.765
Sr 8.428 2.730 11.026
V 0.039 0.910 7.842
V 2.350 0.910 5.147
V 2.499 2.730 11.408
V 4.811 2.730 1.581
V 4.888 0.910 10.942
V 7.200 0.910 1.114
V 7.349 2.730 7.376
V 9.661 2.730 4.680
O 0.248 2.730 3.055
O 0.305 0.910 5.146
O 1.013 2.730 12.228
O 1.694 0.910 7.586
O 1.872 2.730 5.434
O 2.152 2.730 9.828
O 2.697 0.910 3.567
O 2.978 0.910 11.696
O 3.156 2.730 1.324
O 3.837 0.910 5.967
O 4.544 2.730 11.407
O 4.601 0.910 9.316
O 5.098 2.730 3.206
O 5.155 0.910 1.115
O 5.863 2.730 6.555
O 6.544 0.910 11.198
O 6.722 2.730 0.827
O 7.002 2.730 8.956
O 7.547 0.910 2.695
O 7.827 0.910 7.088
O 8.005 2.730 4.937
O 8.686 0.910 0.294
O 9.394 2.730 7.377
O 9.451 0.910 9.468

---

No. 4
5
Lattice="4.521 0.000 0.000 0.000 4.521 0.000 0.000 0.000 4.521" Properties=species:S:1:pos:R:3 comment="KRe3Sn | the Alexandria database | GGA-PBEsol | optimized geometry" ef_kj_per_mol_atoms=354 pbc="T T T"
K 0.000 0.000 0.000
Re 0.000 0.000 2.261
Re 0.000 2.261 0.000
Re 2.261 0.000 0.000
Sn 2.261 2.261 2.261

---

No. 5
12
Lattice="6.162 -1.425 0.000 6.162 1.425 0.000 -1.401 0.000 5.631" Properties=species:S:1:pos:R:3 comment="Li2CrO3 | the Alexandria database | GGA-PBEsol | optimized geometry" formation_energy_uncorrected_mev_per_atom=-2039 pbc="T T T"
Li 0.000 0.000 0.000
Li -0.700 0.000 2.815
Li 3.260 0.000 3.764
Li 7.664 0.000 1.867
Cr 3.974 0.000 1.021
Cr 6.950 0.000 4.610
O 1.239 0.000 3.439
O 2.062 0.000 0.334
O 5.700 0.000 1.372
O 5.224 0.000 4.259
O 8.862 0.000 5.296
O 9.685 0.000 2.192

---

No. 6
5
Lattice="4.732 0.000 0.000 0.000 4.732 0.000 0.000 0.000 4.468" Properties=species:S:1:pos:R:3 comment="HfOsPt2Rh | the Alexandria database | GGA-PBEsol | optimized geometry" ef_kj_per_mol_atoms=124 pbc="T T T"
Hf 0.000 0.000 0.000
Os 2.366 2.366 0.000
Pt 0.000 2.366 2.234
Pt 2.366 0.000 2.234
Rh 2.366 2.366 2.234

---

No. 7
8
Lattice="4.736 0.000 0.000 0.000 2.969 0.000 -0.792 0.000 8.762" Properties=species:S:1:pos:R:3 comment="ScRuPt2 | the Alexandria database | GGA-PBEsol | optimized geometry" ef_kj_per_mol_atoms=-18 pbc="T T T"
Sc 0.000 0.000 0.000
Sc 2.368 1.485 0.000
Ru 0.097 1.485 2.112
Ru 2.465 0.000 2.112
Pt 0.962 0.000 6.550
Pt 1.693 1.485 4.248
Pt 3.330 1.485 6.550
Pt 4.061 0.000 4.248

---

No. 8
4
Lattice="3.540 0.000 0.000 0.000 3.540 0.000 0.000 0.000 6.002" Properties=species:S:1:pos:R:3 comment="Ta2AlPb | the Alexandria database | GGA-PBEsol | optimized geometry" ef_kj_per_mol_atoms=14 pbc="T T T"
Ta 0.000 0.000 0.000
Ta 1.770 1.770 1.306
Al 0.000 0.000 2.718
Pb 1.770 1.770 4.304

---

No. 9
12
Lattice="10.205 0.000 0.000 0.000 3.766 0.000 -4.117 0.000 6.963" Properties=species:S:1:pos:R:3 comment="RhPb2 | the Alexandria database | GGA-PBEsol | optimized geometry" ef_kj_per_mol_atoms=-3 pbc="T T T"
Rh 0.683 0.000 1.271
Rh 0.302 1.883 5.692
Rh 5.786 1.883 1.271
Rh 5.405 0.000 5.692
Pb -2.706 1.883 6.132
Pb -0.654 0.000 3.963
Pb 1.639 1.883 3.000
Pb 3.691 0.000 0.831
Pb 2.397 0.000 6.132
Pb 4.449 1.883 3.963
Pb 6.741 0.000 3.000
Pb 8.794 1.883 0.831

---

No. 10
8
Lattice="5.807 0.000 0.000 0.000 6.930 0.000 0.000 0.000 3.539" Properties=species:S:1:pos:R:3 comment="CrCdAs2 | the Alexandria database | GGA-PBEsol | optimized geometry" ef_kj_per_mol_atoms=27 pbc="T T T"
Cr 0.000 0.000 0.000
Cr 2.904 3.465 0.000
Cd 0.000 3.465 0.000
Cd 2.904 0.000 0.000
As 1.452 1.733 1.769
As 1.452 5.198 1.769
As 4.355 1.733 1.769
As 4.355 5.198 1.769

---

No. 11
8
Lattice="4.408 0.000 0.000 0.000 4.408 0.000 0.000 0.000 8.988" Properties=species:S:1:pos:R:3 comment="LaInSi2 | the Alexandria database | GGA-PBEsol | optimized geometry" formation_energy_uncorrected_mev_per_atom=-189 pbc="T T T"
La 0.000 0.000 0.000
La 2.204 2.204 4.494
In 0.000 0.000 4.494
In 2.204 2.204 0.000
Si 0.000 2.204 2.247
Si 0.000 2.204 6.741
Si 2.204 0.000 2.247
Si 2.204 0.000 6.741

---

No. 12
4
Lattice="3.442 0.000 0.000 0.000 3.442 0.000 0.000 0.000 6.045" Properties=species:S:1:pos:R:3 comment="BeSb2W | the Alexandria database | GGA-PBEsol | optimized geometry" formation_energy_uncorrected_mev_per_atom=614 pbc="T T T"
Be 0.000 0.000 0.000
Sb 1.721 1.721 1.519
Sb 1.721 1.721 4.526
W 0.000 0.000 3.022

---

No. 13
12
Lattice="6.459 0.000 0.000 0.000 4.007 0.000 0.000 0.000 7.492" Properties=species:S:1:pos:R:3 comment="HfGeIr | the Alexandria database | GGA-PBEsol | optimized geometry" ef_kj_per_mol_atoms=-86 pbc="T T T"
Hf 0.146 1.002 1.394
Hf 3.083 3.005 5.140
Hf 3.376 1.002 2.352
Hf 6.313 3.005 6.098
Ge 1.504 3.005 2.850
Ge 1.725 1.002 6.596
Ge 4.734 3.005 0.896
Ge 4.955 1.002 4.642
Ir 0.994 1.002 4.221
Ir 2.235 3.005 0.475
Ir 4.224 1.002 7.017
Ir 5.465 3.005 3.271

---

No. 14
14
Lattice="4.380 0.000 0.000 0.000 4.380 0.000 0.000 0.000 19.856" Properties=species:S:1:pos:R:3 comment="NaLaCuTe4 | the Alexandria database | GGA-PBEsol | optimized geometry" formation_energy_uncorrected_mev_per_atom=-830 pbc="T T T"
Na 1.095 1.095 2.512
Na 3.285 3.285 17.343
La 1.095 1.095 12.039
La 3.285 3.285 7.816
Cu 1.095 3.285 0.000
Cu 3.285 1.095 0.000
Te 1.095 1.095 8.721
Te 1.095 1.095 18.361
Te 1.095 3.285 5.274
Te 1.095 3.285 14.582
Te 3.285 1.095 5.274
Te 3.285 1.095 14.582
Te 3.285 3.285 1.495
Te 3.285 3.285 11.135

---

No. 15
88
Lattice="17.479 0.000 0.000 0.000 12.162 0.000 0.000 0.000 5.264" Properties=species:S:1:pos:R:3 comment="V3P4O15 | the Alexandria database | GGA-PBEsol | optimized geometry" formation_energy_uncorrected_mev_per_atom=-2216 pbc="T T T"
V 2.178 0.274 1.313
V 2.178 5.807 1.313
V 2.988 3.040 2.572
V 5.752 9.121 5.204
V 6.562 6.354 3.945
V 6.562 11.888 3.945
V 10.918 0.274 1.319
V 10.918 5.807 1.319
V 11.727 3.040 0.060
V 14.492 9.121 2.692
V 15.301 6.354 3.951
V 15.301 11.888 3.951
P 0.628 1.598 4.019
P 0.628 4.483 4.019
P 3.394 7.600 3.921
P 3.394 10.642 3.921
P 5.346 1.519 1.289
P 5.346 4.562 1.289
P 8.112 7.679 1.387
P 8.112 10.564 1.387
P 9.368 1.598 3.877
P 9.368 4.483 3.877
P 12.134 7.600 3.974
P 12.134 10.642 3.974
P 14.085 1.519 1.343
P 14.085 4.562 1.343
P 16.851 7.679 1.245
P 16.851 10.564 1.245
O 0.066 9.121 1.294
O 0.460 6.684 1.460
O 0.460 11.559 1.460
O 1.406 1.522 0.049
O 1.406 4.559 0.049
O 1.624 1.611 2.800
O 1.624 4.470 2.800
O 2.773 6.969 5.134
O 2.773 11.273 5.134
O 2.885 9.121 3.862
O 3.037 6.939 2.619
O 3.037 11.303 2.619
O 3.786 1.623 1.434
O 3.786 4.458 1.434
O 3.856 3.040 3.887
O 4.883 9.121 1.255
O 4.954 7.704 4.066
O 4.954 10.539 4.066
O 5.703 0.858 5.251
O 5.703 5.223 5.251
O 5.854 3.040 1.230
O 5.967 0.889 2.502
O 5.967 5.192 2.502
O 7.116 7.692 0.168
O 7.116 10.551 0.168
O 7.334 7.603 2.681
O 7.334 10.640 2.681
O 8.279 0.603 4.092
O 8.279 5.478 4.092
O 8.674 3.040 3.926
O 8.806 9.121 1.338
O 9.200 6.684 1.172
O 9.200 11.559 1.172
O 10.146 1.522 2.583
O 10.146 4.559 2.583
O 10.364 1.611 5.096
O 10.364 4.470 5.096
O 11.513 6.969 2.762
O 11.513 11.273 2.762
O 11.625 9.121 4.033
O 11.776 6.939 0.013
O 11.776 11.303 0.013
O 12.526 1.623 1.198
O 12.526 4.458 1.198
O 12.596 3.040 4.009
O 13.623 9.121 1.377
O 13.693 7.704 3.830
O 13.693 10.539 3.830
O 14.443 0.858 2.645
O 14.443 5.223 2.645
O 14.594 3.040 1.401
O 14.707 0.889 0.130
O 14.707 5.192 0.130
O 15.855 7.692 2.464
O 15.855 10.551 2.464
O 16.073 7.603 5.215
O 16.073 10.640 5.215
O 17.019 0.603 3.804
O 17.019 5.478 3.804
O 17.413 3.040 3.970

---

No. 16
5
Lattice="4.997 0.000 0.000 0.000 4.997 0.000 0.000 0.000 4.997" Properties=species:S:1:pos:R:3 comment="TiCr3Pb | the Alexandria database | GGA-PBEsol | optimized geometry" ef_kj_per_mol_atoms=193 pbc="T T T"
Ti 0.000 0.000 0.000
Cr 0.000 2.499 2.499
Cr 2.499 0.000 2.499
Cr 2.499 2.499 0.000
Pb 2.499 2.499 2.499

---

No. 17
6
Lattice="4.250 0.000 0.000 -2.125 3.680 0.000 0.000 0.000 10.564" Properties=species:S:1:pos:R:3 comment="GeTePb2Se2 | the Alexandria database | GGA-PBEsol | optimized geometry" formation_energy_uncorrected_mev_per_atom=-365 pbc="T T T"
Ge 0.000 0.000 0.000
Te 0.000 2.454 1.578
Pb 0.000 2.454 7.317
Pb 2.125 1.227 3.726
Se 0.000 0.000 5.416
Se 2.125 1.227 9.023

---

No. 18
12
Lattice="7.288 0.000 0.000 0.000 7.288 0.000 0.000 0.000 7.288" Properties=species:S:1:pos:R:3 comment="LiLaTe | the Alexandria database | GGA-PBEsol | optimized geometry" formation_energy_uncorrected_mev_per_atom=-442 pbc="T T T"
Li 0.000 0.000 0.000
Li 0.000 3.644 3.644
Li 3.644 0.000 3.644
Li 3.644 3.644 0.000
La 1.822 1.822 1.822
La 1.822 5.466 5.466
La 5.466 1.822 5.466
La 5.466 5.466 1.822
Te 0.000 0.000 3.644
Te 0.000 3.644 0.000
Te 3.644 0.000 0.000
Te 3.644 3.644 3.644

---

No. 19
6
Lattice="2.713 0.000 0.000 0.000 3.838 0.000 0.000 0.000 8.193" Properties=species:S:1:pos:R:3 comment="TcIrPt | the Alexandria database | GGA-PBEsol | optimized geometry" ef_kj_per_mol_atoms=-18 pbc="T T T"
Tc 0.000 0.000 0.000
Tc 1.357 1.919 4.097
Ir 0.000 0.000 5.358
Ir 1.357 1.919 1.261
Pt 0.000 0.000 2.693
Pt 1.357 1.919 6.789

---

No. 20
5
Lattice="7.011 0.000 0.000 0.000 7.011 0.000 0.000 0.000 5.803" Properties=species:S:1:pos:R:3 comment="Cs2MgScBe | the Alexandria database | GGA-PBEsol | optimized geometry" ef_kj_per_mol_atoms=125 pbc="T T T"
Cs 0.000 3.505 0.000
Cs 3.505 0.000 0.000
Mg 0.000 0.000 0.000
Sc 0.000 0.000 2.901
Be 3.505 3.505 2.901

---

The calculation returns the following uncorrected energy values, one per record and in order: -3.6096, -9.4820, -8.4458, -5.4095, -7.0264, -7.6725, -7.8624, -8.1568, -5.4131, -5.1378, -5.1443, -6.1165, -9.3081, -4.4281, -8.1622, -6.6058, -4.3922, -4.0551, -9.5382, -1.5469 eV per atom.